Record 1
An optimized crystal structure of CaCoTc2. Source: Alexandria via LeMat-Bulk, functional PBE.

a = 4.455 Å, b = 4.455 Å, c = 4.455 Å
α = 60.00°, β = 60.00°, γ = 60.00°
Last column: magnetic moment on the atom in μB.
Atoms (fractional coordinates):
Ca 0.500 0.500 0.500  -0.05
Tc 0.750 0.750 0.750  -0.24
Tc 0.000 0.000 0.000  0.37
Co 0.250 0.250 0.250  1.34

Properties
Energy above the lowest structure with this stoichiometry in meV/atom: 159
Energy relative to the elements in eV/f.u.: 1.922



Record 2
An optimized crystal structure of CaCoTc. Source: Alexandria via LeMat-Bulk, functional PBE.

a = 4.218 Å, b = 6.472 Å, c = 4.323 Å
α = 88.75°, β = 89.97°, γ = 90.00°
Atoms (fractional coordinates):
Co 0.544 0.124 0.994
Co 0.044 0.807 0.395
Tc 0.544 0.961 0.468
Tc 0.044 0.969 0.921
Ca 0.544 0.612 0.944
Ca 0.044 0.319 0.444

Properties
Energy above the lowest structure with this stoichiometry in meV/atom: 0
Energy relative to the elements in eV/f.u.: 0.474



Record 3
An optimized crystal structure of Ca2CoTc. Source: Alexandria via LeMat-Bulk, functional PBE.

a = 5.624 Å, b = 5.624 Å, c = 4.980 Å
α = 63.74°, β = 63.74°, γ = 40.13°
Atoms (fractional coordinates):
Co 0.561 0.561 0.439
Ca 0.985 0.985 0.015
Ca 0.773 0.773 0.727
Tc 0.181 0.181 0.319

Properties
Energy above the lowest structure with this stoichiometry in meV/atom: 61
Energy relative to the elements in eV/f.u.: 1.548



Record 4
An optimized crystal structure of CaCo2Tc. Source: Alexandria via LeMat-Bulk, functional PBE.

a = 4.210 Å, b = 2.807 Å, c = 5.368 Å
α = 78.56°, β = 90.00°, γ = 90.00°
Last column: magnetic moment on the atom in μB.
Atoms (fractional coordinates):
Ca 0.500 0.750 0.792  -0.03
Tc 0.000 0.494 0.399  0.22
Co 0.500 0.112 0.285  0.78
Co 0.000 0.144 0.023  0.94

Properties
Energy above the lowest structure with this stoichiometry in meV/atom: 158
Energy relative to the elements in eV/f.u.: 1.822



Record 5
An optimized crystal structure of CaCo2Tc. Source: Alexandria via LeMat-Bulk, functional PBE.

a = 4.989 Å, b = 4.989 Å, c = 4.989 Å
α = 135.63°, β = 135.63°, γ = 64.55°
Last column: magnetic moment on the atom in μB.
Atoms (fractional coordinates):
Co 0.250 0.750 0.500  -0.51
Co 0.000 0.000 0.000  1.30
Tc 0.500 0.500 0.000  0.45
Ca 0.750 0.250 0.500  0.00

Properties
Energy above the lowest structure with this stoichiometry in meV/atom: 404
Energy relative to the elements in eV/f.u.: 2.805



Record 6
An optimized crystal structure of CaCoTc. Source: Alexandria via LeMat-Bulk, functional PBE.

a = 4.123 Å, b = 6.592 Å, c = 5.151 Å
α = 126.93°, β = 90.00°, γ = 90.00°
Last column: magnetic moment on the atom in μB.
Atoms (fractional coordinates):
Ca 0.377 0.519 0.958  -0.01
Ca 0.877 0.411 0.361  -0.01
Co 0.877 0.895 0.013  0.76
Co 0.377 0.035 0.307  0.76
Tc 0.877 0.997 0.554  0.02
Tc 0.377 0.933 0.766  0.02

Properties
Energy above the lowest structure with this stoichiometry in meV/atom: 4
Energy relative to the elements in eV/f.u.: 0.485